PBE Tm2Ni5Ge3, relaxed; energy of formation = -0.58 eV/atom; excess energy over the best structure of this formula in the dataset = 10.0 meV per atom; SG = Ibam (72)
1.0
-5.066 5.468 2.783
5.066 -5.468 2.783
5.066 5.468 -2.783
Tm Ni Ge
4 10 6
direct
0.126 0.243 0.370
0.374 0.743 0.117
0.626 0.257 0.883
0.874 0.757 0.630
0.006 0.750 0.256
0.117 0.644 0.761
0.250 0.250 0.000
0.383 0.144 0.527
0.494 0.750 0.744
0.506 0.250 0.256
0.617 0.856 0.473
0.750 0.750 0.000
0.883 0.356 0.239
0.994 0.250 0.744
0.130 0.872 0.001
0.250 0.750 0.500
0.370 0.372 0.742
0.630 0.628 0.258
0.750 0.250 0.500
0.870 0.128 0.999